Material: Tb8ThSc4
Method: DFT, PBE-GGA
State: optimized geometry

For the energy relative to the elements, the calculation gives 0.29 eV per atom. The value obtained for the spin magnetization is 0.00 μB/atom.

It has space group R-3m (No. 166, hexagonal axes), with a = 6.7182 Å, b = 6.7182 Å, c = 30.9459 Å, α = 90.00°, β = 90.00° and γ = 120.00°. The inequivalent atoms are Tb at (0.0000, 0.0000, 0.2017), Tb at (0.0074, 0.5037, 0.7519), Th at (0.0000, 0.0000, 0.5000), Sc at (0.0000, 0.0000, 0.0000) and Sc at (0.0000, 0.5000, 0.0000).